# 1
A plane-wave DFT calculation with meta-GGA SCAN was carried out for a PBEsol-optimized structure of InRhAu2.

abc: 4.573 3.134 4.852
angles: 90.00 105.27 90.00
Positions (direct):
In 0.000 0.000 0.000
Rh 0.500 0.500 0.000
Au 0.000 0.500 0.500
Au 0.500 0.000 0.500

Output
E_form (eV/atom): -0.153
Mass density (g/cm3): 15.1
Volume (Å³/cell): 67
VASP energy (eV/atom): -51.521
Fermi-level density of states (states/eV/cell): 1.81

# 2
A plane-wave DFT calculation with meta-GGA SCAN was carried out for a PBEsol-optimized structure of In2RhAu.

abc: 3.183 3.183 6.982
angles: 90.00 90.00 90.00
Positions (direct):
In 0.000 0.000 0.231
In 0.000 0.000 0.769
Rh 0.500 0.500 0.000
Au 0.500 0.500 0.500

Output
E_form (eV/atom): -0.263
Mass density (g/cm3): 12.4
Volume (Å³/cell): 71
VASP energy (eV/atom): -42.689
Fermi-level density of states (states/eV/cell): 1.72

# 3
A plane-wave DFT calculation with meta-GGA SCAN was carried out for a PBEsol-optimized structure of In2RhAu.

abc: 4.649 4.649 4.649
angles: 60.00 60.00 60.00
Positions (direct):
In 0.000 0.000 0.000
In 0.250 0.250 0.250
Rh 0.500 0.500 0.500
Au 0.750 0.750 0.750

Output
E_form (eV/atom): 0.020
Mass density (g/cm3): 12.4
Volume (Å³/cell): 71
VASP energy (eV/atom): -42.405
Fermi-level density of states (states/eV/cell): 1.85

# 4
A plane-wave DFT calculation with meta-GGA SCAN was carried out for a PBEsol-optimized structure of In3RhAu.

abc: 5.058 5.058 5.058
angles: 90.00 90.00 90.00
Positions (direct):
In 0.000 0.000 0.500
In 0.000 0.500 0.000
In 0.500 0.000 0.000
Rh 0.500 0.500 0.500
Au 0.000 0.000 0.000

Output
E_form (eV/atom): 0.652
Mass density (g/cm3): 8.3
Volume (Å³/cell): 129
VASP energy (eV/atom): -39.966
Fermi-level density of states (states/eV/cell): 5.01

# 5
A plane-wave DFT calculation with meta-GGA SCAN was carried out for a PBEsol-optimized structure of In2RhAu.

abc: 3.286 3.986 5.575
angles: 90.00 90.00 90.00
Positions (direct):
In 0.000 0.000 0.000
In 0.500 0.500 0.323
Rh 0.000 0.000 0.500
Au 0.500 0.500 0.805

Output
E_form (eV/atom): -0.210
Mass density (g/cm3): 12.0
Volume (Å³/cell): 73
VASP energy (eV/atom): -42.636
Fermi-level density of states (states/eV/cell): 1.78

# 6
A plane-wave DFT calculation with meta-GGA SCAN was carried out for a PBEsol-optimized structure of InRhAu2.

abc: 4.854 4.854 4.854
angles: 129.49 129.49 74.22
Positions (direct):
In 0.000 0.000 0.000
Rh 0.250 0.750 0.500
Au 0.500 0.500 0.000
Au 0.750 0.250 0.500

Output
E_form (eV/atom): -0.177
Mass density (g/cm3): 15.3
Volume (Å³/cell): 66
VASP energy (eV/atom): -51.545
Fermi-level density of states (states/eV/cell): 1.34

# 7
A plane-wave DFT calculation with meta-GGA SCAN was carried out for a PBEsol-optimized structure of InRhAu2.

abc: 3.387 3.387 5.852
angles: 90.00 90.00 90.00
Positions (direct):
In 0.000 0.000 0.000
Rh 0.500 0.500 0.223
Au 0.000 0.000 0.484
Au 0.500 0.500 0.726

Output
E_form (eV/atom): -0.142
Mass density (g/cm3): 15.1
Volume (Å³/cell): 67
VASP energy (eV/atom): -51.509
Fermi-level density of states (states/eV/cell): 1.64

# 8
A plane-wave DFT calculation with meta-GGA SCAN was carried out for a PBEsol-optimized structure of InRuAu.

abc: 4.496 4.496 2.895
angles: 90.00 90.00 120.00
Positions (direct):
In 0.000 0.000 0.000
Ru 0.333 0.667 0.368
Au 0.667 0.333 0.793

Output
E_form (eV/atom): 0.271
Mass density (g/cm3): 13.5
Volume (Å³/cell): 51
VASP energy (eV/atom): -45.519
Fermi-level density of states (states/eV/cell): 2.39

# 9
A plane-wave DFT calculation with meta-GGA SCAN was carried out for a PBEsol-optimized structure of InRu2Au.

abc: 4.474 4.474 4.474
angles: 60.00 60.00 60.00
Positions (direct):
In 0.000 0.000 0.000
Ru 0.250 0.250 0.250
Ru 0.500 0.500 0.500
Au 0.750 0.750 0.750

Output
E_form (eV/atom): 0.405
Mass density (g/cm3): 13.5
Volume (Å³/cell): 63
VASP energy (eV/atom): -42.644
Fermi-level density of states (states/eV/cell): 3.63

# 10
A plane-wave DFT calculation with meta-GGA SCAN was carried out for a PBEsol-optimized structure of InRu2Au.

abc: 2.848 3.723 5.983
angles: 90.00 90.00 90.00
Positions (direct):
In 0.000 0.000 0.000
Ru 0.000 0.000 0.463
Ru 0.500 0.500 0.275
Au 0.500 0.500 0.732

Output
E_form (eV/atom): 0.162
Mass density (g/cm3): 13.4
Volume (Å³/cell): 63
VASP energy (eV/atom): -42.887
Fermi-level density of states (states/eV/cell): 2.60

# 11
A plane-wave DFT calculation with meta-GGA SCAN was carried out for a PBEsol-optimized structure of InRu2Au.

abc: 9.284 9.284 9.284
angles: 17.56 17.56 17.56
Positions (direct):
In 0.000 0.000 0.000
Ru 0.490 0.490 0.490
Ru 0.752 0.752 0.752
Au 0.242 0.242 0.242

Output
E_form (eV/atom): 0.267
Mass density (g/cm3): 13.4
Volume (Å³/cell): 64
VASP energy (eV/atom): -42.782
Fermi-level density of states (states/eV/cell): 3.08

# 12
A plane-wave DFT calculation with meta-GGA SCAN was carried out for a PBEsol-optimized structure of ScIn2RuAu.

abc: 5.410 5.410 4.359
angles: 90.00 90.00 90.00
Positions (direct):
Sc 0.000 0.000 0.000
In 0.000 0.500 0.000
In 0.500 0.000 0.000
Ru 0.000 0.000 0.500
Au 0.500 0.500 0.500

Output
E_form (eV/atom): 1.006
Mass density (g/cm3): 7.5
Volume (Å³/cell): 128
VASP energy (eV/atom): -35.993
Fermi-level density of states (states/eV/cell): 3.89